# NaHg2Sb2 (PBE-GGA, optimized geometry)
# **Raw formation energy**: 0.24 kcal/mol of atoms
# **Spin magnetization**: 0.000 μB/f.u.
data_NaHg2Sb2
_chemical_formula_sum 'Na2 Hg4 Sb4'
_space_group_name_H-M_alt 'P 4/m b m'
_space_group_IT_number 127
_space_group_name_Hall '-P 4 2ab'
_cell_length_a 8.234
_cell_length_b 8.234
_cell_length_c 3.994
_cell_angle_alpha 90.00
_cell_angle_beta 90.00
_cell_angle_gamma 90.00
loop_
_atom_site_label
_atom_site_type_symbol
_atom_site_fract_x
_atom_site_fract_y
_atom_site_fract_z
Na1 Na 0.000 0.000 0.000
Hg1 Hg 0.147 0.353 0.000
Sb1 Sb 0.150 0.650 0.500


# Na3Hg2Sb (PBE-GGA, optimized geometry)
# **Raw formation energy**: -6.55 kcal/mol of atoms
# **Spin magnetization**: 0.000 μB/f.u.
data_Na3Hg2Sb
_chemical_formula_sum 'Na6 Hg4 Sb2'
_space_group_name_H-M_alt 'C m m m'
_space_group_IT_number 65
_space_group_name_Hall '-C 2 2'
_cell_length_a 5.371
_cell_length_b 16.262
_cell_length_c 3.709
_cell_angle_alpha 90.00
_cell_angle_beta 90.00
_cell_angle_gamma 90.00
loop_
_atom_site_label
_atom_site_type_symbol
_atom_site_fract_x
_atom_site_fract_y
_atom_site_fract_z
Na1 Na 0.000 0.000 0.000
Na2 Na 0.000 0.342 0.000
Hg1 Hg 0.000 0.180 0.500
Sb1 Sb 0.000 0.500 0.500


Among the records above, which one has the highest raw formation energy? NaHg2Sb2